## one
Entry from OQMD via LeMat-Bulk: a geometry-optimized DyTaBi structure (PBE-GGA).

spin magnetization: 1.5 μB per cell

Unit cell a=6.907 b=6.907 c=6.907 alpha=90.00 beta=90.00 gamma=90.00
Space group F-43m (No. 216)
Symmetry-distinct sites (fractional):
Dy (0.000, 0.000, 0.000)
Ta (0.000, 0.000, 0.500)
Bi (0.250, 0.250, 0.250)

=====

## two
Entry from OQMD via LeMat-Bulk: a geometry-optimized DyTaBi structure (PBE-GGA).

spin magnetization: 0.1 μB per cell

Unit cell a=3.545 b=16.245 c=5.385 alpha=90.00 beta=90.00 gamma=90.00
Space group Cmcm (No. 63)
Symmetry-distinct sites (fractional):
Dy (0.000, 0.172, 0.250)
Ta (0.000, 0.000, 0.000)
Bi (0.000, 0.370, 0.250)

=====

The structure with the least stability is one.

=====

## one
Entry from OQMD via LeMat-Bulk: a geometry-optimized DyTcBi structure (PBE-GGA).

spin magnetization: 6.7 μB per cell

Unit cell a=6.803 b=6.803 c=6.803 alpha=90.00 beta=90.00 gamma=90.00
Space group F-43m (No. 216)
Symmetry-distinct sites (fractional):
Dy (0.000, 0.000, 0.000)
Tc (0.000, 0.000, 0.500)
Bi (0.250, 0.250, 0.250)

=====

## two
Entry from OQMD via LeMat-Bulk: a geometry-optimized DyTcBi structure (PBE-GGA).

spin magnetization: 0.3 μB per cell

Unit cell a=6.880 b=6.880 c=6.880 alpha=90.00 beta=90.00 gamma=90.00
Space group F-43m (No. 216)
Symmetry-distinct sites (fractional):
Dy (0.000, 0.000, 0.000)
Tc (0.250, 0.250, 0.250)
Bi (0.250, 0.250, 0.750)

=====

The structure with the least stability is two.

=====

## one
Entry from OQMD via LeMat-Bulk: a geometry-optimized Er5Bi3 structure (PBE-GGA).

spin magnetization: 0.0 μB per cell

Unit cell a=8.176 b=9.462 c=11.892 alpha=90.00 beta=90.00 gamma=90.00
Space group Pnma (No. 62)
Symmetry-distinct sites (fractional):
Er (0.022, 0.250, 0.011)
Er (0.147, 0.750, 0.284)
Er (0.186, 0.250, 0.282)
Er (0.192, 0.065, 0.558)
Bi (0.066, 0.004, 0.825)
Bi (0.096, 0.750, 0.543)

=====

## two
Entry from OQMD via LeMat-Bulk: a geometry-optimized Er5Bi3 structure (PBE-GGA).

spin magnetization: 0.0 μB per cell

Unit cell a=11.869 b=9.401 c=8.197 alpha=90.00 beta=90.00 gamma=90.00
Space group Pnma (No. 62)
Symmetry-distinct sites (fractional):
Er (0.005, 0.250, 0.021)
Er (0.064, 0.062, 0.691)
Er (0.210, 0.750, 0.341)
Er (0.229, 0.250, 0.327)
Bi (0.026, 0.750, 0.601)
Bi (0.175, 0.508, 0.065)

=====

The structure with the least stability is two.

=====

## one
Entry from OQMD via LeMat-Bulk: a geometry-optimized Ho3Er3FeBi2 structure (PBE-GGA).

spin magnetization: 0.1 μB per cell

Unit cell a=8.2888 b=8.2888 c=4.1305 alpha=90.00 beta=90.00 gamma=120.00
Space group P-62m (No. 189)
Symmetry-distinct sites (fractional):
Ho (0.0000, 0.6069, 0.0000)
Er (0.0000, 0.2285, 0.5000)
Fe (0.0000, 0.0000, 0.0000)
Bi (0.3333, 0.6667, 0.5000)

=====

## two
Entry from OQMD via LeMat-Bulk: a geometry-optimized Ho3Er3FeBi2 structure (PBE-GGA).

spin magnetization: 0.0 μB per cell

Unit cell a=8.2827 b=8.2827 c=4.1215 alpha=90.00 beta=90.00 gamma=120.00
Space group P-62m (No. 189)
Symmetry-distinct sites (fractional):
Ho (0.0000, 0.2305, 0.0000)
Er (0.0000, 0.6098, 0.5000)
Fe (0.0000, 0.0000, 0.5000)
Bi (0.3333, 0.6667, 0.0000)

=====

The structure with the least stability is two.